1.
The following is a DFT calculation (PBE-GGA) of a geometry-optimized BaSmNi2Sb2 structure.

abc: 4.4027 4.4027 9.0542
angles: 90.00 90.00 120.00
Space group P-3m1 (No. 164)
Unique sites:
Ba (0.0000, 0.0000, 0.0000) [1 per cell]
Sm (0.0000, 0.0000, 0.5000) [1 per cell]
Ni (0.3333, 0.6667, 0.7048) [2 per cell]
Sb (0.3333, 0.6667, 0.2741) [2 per cell]

Results
ΔE_f (raw) ... -0.735 eV per atom
DOS(E_F) ... 5.336 states/eV per cell
E_tot ... -5.14 eV/atom

2.
The following is a DFT calculation (PBE-GGA) of a geometry-optimized BeOs2 structure.

abc: 4.1890 4.1890 5.6587
angles: 90.00 90.00 120.00
Space group P6_3/mmc (No. 194)
Unique sites:
Be (0.0000, 0.0000, 0.2500) [2 per cell]
Os (0.3333, 0.6667, 0.0337) [4 per cell]

Results
DOS(E_F) ... 4.855 states/eV per cell
E_tot ... -8.24 eV/atom